Density functional theory data (GGA-PBE) for a geometry-optimized SiTc2Se structure.

```
4
Lattice="3.0329 0.0000 0.0000 0.0000 3.9617 0.0000 0.0000 0.0000 5.0705" Properties=species:S:1:pos:R:3 pbc="T T T"
Si 0.0000 0.0000 0.0000
Tc 0.0000 1.9809 2.5353
Tc 1.5164 1.9809 0.0000
Se 1.5164 0.0000 2.5353
```

Properties
- SG: Pmmm
- ΔE_f (raw): 122 kJ/mol of formula units